No. 1
A plane-wave DFT calculation with GGA-PBE was carried out for a relaxed structure of BPtRh.

Properties
Its magnetization is 0.0 μB per cell. The value obtained for the theoretical density is 13.03 g cm⁻³. The calculation puts the formation energy at -0.066 eV per atom. As for the density of states at the Fermi level: 0.619 states/eV/atom.

Cell lengths 8.4154, 8.4154, 4.4452 Å; angles 90.00, 90.00, 90.00 degrees
Space group I4/mmm (No. 139)
Inequivalent atoms, fractional coordinates:
B (0.0000, 0.3662, 0.0000) x8
Pt (0.1658, 0.1658, 0.0000) x8
Rh (0.0000, 0.2911, 0.5000) x8

***

No. 2
A plane-wave DFT calculation with GGA-PBE was carried out for a relaxed structure of Li2YHo2Si2.

Properties
The uncorrected formation energy is -2.79 eV per formula unit. Its magnetization is 0.0 μB per cell. The value obtained for the theoretical density is 5.46 g cm⁻³. As for the density of states at the Fermi level: 0.429 states/eV/atom.

Cell lengths 4.4188, 4.4188, 26.3728 Å; angles 90.00, 90.00, 120.00 degrees
Space group R-3m (No. 166, hexagonal axes)
Inequivalent atoms, fractional coordinates:
Li (0.0000, 0.0000, 0.1005) x6
Y (0.0000, 0.0000, 0.5000) x3
Ho (0.0000, 0.0000, 0.3731) x6
Si (0.0000, 0.0000, 0.2369) x6

***

No. 3
A plane-wave DFT calculation with GGA-PBE was carried out for a relaxed structure of PuSeO5.

Properties
The uncorrected formation energy is -11.46 eV per formula unit. Its magnetization is 16.0 μB per cell. The value obtained for the theoretical density is 5.31 g cm⁻³. As for the density of states at the Fermi level: 0.712 states/eV/atom.

Cell lengths 8.3735, 8.5660, 8.0378 Å; angles 90.00, 118.99, 90.00 degrees
Space group C2/c (No. 15)
Inequivalent atoms, fractional coordinates:
Pu (0.0000, 0.0000, 0.0000) x4
Se (0.0000, 0.3725, 0.2500) x4
O (0.0000, 0.0533, 0.7500) x4
O (0.0025, 0.2623, 0.0781) x8
O (0.1836, 0.4880, 0.3452) x8

***

No. 4
A plane-wave DFT calculation with GGA-PBE was carried out for a relaxed structure of HgBi2Pb5.

Properties
Its magnetization is 0.0 μB per cell. The value obtained for the theoretical density is 10.97 g cm⁻³. The value obtained for the offset from the most stable computed form is 0 meV per atom. The calculation puts the formation energy at 0.051 eV per atom. As for the density of states at the Fermi level: 0.732 states/eV/atom.

Cell lengths 8.5452, 8.5452, 6.8615 Å; angles 90.00, 90.00, 90.00 degrees
Space group I4mm (No. 107)
Inequivalent atoms, fractional coordinates:
Hg (0.0000, 0.0000, 0.0000) x2
Bi (0.0000, 0.5000, 0.9995) x4
Pb (0.0000, 0.0000, 0.4992) x2
Pb (0.2502, 0.2502, 0.2497) x8

***

No. 5
A plane-wave DFT calculation with GGA-PBE was carried out for a relaxed structure of CrMoCl2.

Properties
The uncorrected formation energy is 0.62 eV per formula unit. Its magnetization is 2.9 μB per cell. The value obtained for the theoretical density is 3.85 g cm⁻³. The value obtained for the offset from the most stable computed form is 381 meV per atom. As for the density of states at the Fermi level: 0.661 states/eV/atom.

Cell lengths 10.0138, 3.1259, 6.0707 Å; angles 90.00, 96.58, 90.00 degrees
Space group Cm (No. 8)
Inequivalent atoms, fractional coordinates:
Cr (0.0000, 0.0000, 0.0000) x2
Mo (0.3206, 0.0000, 0.9443) x2
Cl (0.1934, 0.5000, 0.1887) x2
Cl (0.4732, 0.0000, 0.6614) x2

***

No. 6
A plane-wave DFT calculation with GGA-PBE was carried out for a relaxed structure of TbHo5Sc2.

Properties
Its magnetization is 0.0 μB per cell. The value obtained for the theoretical density is 7.51 g cm⁻³. The value obtained for the offset from the most stable computed form is 82 meV per atom. The calculation puts the formation energy at 0.107 eV per atom. As for the density of states at the Fermi level: 1.199 states/eV/atom.

Cell lengths 8.7483, 8.7483, 12.4094 Å; angles 90.00, 90.00, 90.00 degrees
Space group I4/mcm (No. 140)
Inequivalent atoms, fractional coordinates:
Tb (0.0000, 0.0000, 0.2500) x4
Ho (0.0000, 0.0000, 0.0000) x4
Ho (0.1511, 0.3489, 0.1579) x16
Sc (0.1425, 0.3575, 0.5000) x8

***

No. 7
A plane-wave DFT calculation with GGA-PBE was carried out for a relaxed structure of TbPrO3.

Properties
The uncorrected formation energy is -16.75 eV per formula unit. Its magnetization is 0.0 μB per cell. The value obtained for the theoretical density is 8.07 g cm⁻³. As for the density of states at the Fermi level: 0.000 states/eV/atom.

Cell lengths 6.1685, 3.4565, 13.4243 Å; angles 90.00, 90.00, 90.00 degrees
Space group Pnma (No. 62)
Inequivalent atoms, fractional coordinates:
Tb (0.2405, 0.2500, 0.0520) x4
Pr (0.1814, 0.7500, 0.3053) x4
O (0.0309, 0.7500, 0.1054) x4
O (0.1274, 0.7500, 0.7149) x4
O (0.1395, 0.2500, 0.4425) x4

***

No. 8
A plane-wave DFT calculation with GGA-PBE was carried out for a relaxed structure of ZrMo2Se.

Properties
The uncorrected formation energy is 0.71 eV per formula unit. Its magnetization is 0.0 μB per cell. The value obtained for the theoretical density is 8.43 g cm⁻³. As for the density of states at the Fermi level: 0.830 states/eV/atom.

Cell lengths 5.2126, 8.7534, 3.1262 Å; angles 90.00, 90.00, 90.00 degrees
Space group Cmmm (No. 65)
Inequivalent atoms, fractional coordinates:
Zr (0.0000, 0.0000, 0.0000) x2
Mo (0.2500, 0.2500, 0.5000) x4
Se (0.0000, 0.5000, 0.0000) x2

***

Which value of magnetization does entry 1 give?
0.0 μB per cell

***

What is the magnetization in the fourth record?
0.0 μB per cell